No. 1
DyMgTlPb: relaxed, PBE.

Summary:
crystal system = cubic
calculated volume = 26.809 Å³/atom
energy above the lowest structure with this stoichiometry = 0.1201 eV per atom
magnetization = 0.0 μB per formula unit
formation enthalpy at 0 K = -0.74 eV per formula unit

a b c (Å): 5.333 5.333 5.333
angles (deg): 60.00 60.00 60.00
Sites, in units of the cell vectors:
1 Dy 0.000 0.000 0.000
2 Mg 0.500 0.500 0.500
3 Tl 0.750 0.750 0.750
4 Pb 0.250 0.250 0.250


No. 2
Pm3Ho5Tm2: relaxed, PBE.

Summary:
crystal system = orthorhombic
calculated volume = 33.952 Å³/atom
energy above the lowest structure with this stoichiometry = 0.1494 eV per atom
magnetization = 0.0 μB per formula unit
formation enthalpy at 0 K = 3.45 eV per formula unit

a b c (Å): 11.038 11.038 11.038
angles (deg): 108.74 80.83 146.93
Sites, in units of the cell vectors:
1 Pm 0.247 0.158 0.404
2 Pm 0.250 0.250 0.000
3 Pm 0.253 0.658 0.911
4 Pm 0.747 0.342 0.089
5 Pm 0.750 0.750 0.000
6 Pm 0.753 0.842 0.596
7 Ho 0.156 0.401 0.557
8 Ho 0.250 0.502 0.252
9 Ho 0.250 0.750 0.500
10 Ho 0.250 0.998 0.748
11 Ho 0.344 0.901 0.245
12 Ho 0.656 0.099 0.755
13 Ho 0.750 0.002 0.252
14 Ho 0.750 0.250 0.500
15 Ho 0.750 0.498 0.748
16 Ho 0.844 0.599 0.443
17 Tm 0.156 0.898 0.054
18 Tm 0.344 0.398 0.742
19 Tm 0.656 0.602 0.258
20 Tm 0.844 0.102 0.946


No. 3
Sr4Li5Ca: relaxed, PBE.

Summary:
crystal system = tetragonal
calculated volume = 36.611 Å³/atom
magnetization = 0.0 μB per formula unit
formation enthalpy at 0 K = 0.27 eV per formula unit

a b c (Å): 4.199 4.199 20.766
angles (deg): 90.00 90.00 90.00
Sites, in units of the cell vectors:
1 Sr 0.000 0.000 0.102
2 Sr 0.000 0.000 0.306
3 Sr 0.000 0.000 0.694
4 Sr 0.000 0.000 0.898
5 Li 0.500 0.500 0.000
6 Li 0.500 0.500 0.204
7 Li 0.500 0.500 0.412
8 Li 0.500 0.500 0.588
9 Li 0.500 0.500 0.796
10 Ca 0.000 0.000 0.500


No. 4
UBrCl3: relaxed, PBE.

Summary:
crystal system = trigonal
calculated volume = 35.891 Å³/atom
energy above the lowest structure with this stoichiometry = 0.0087 eV per atom
magnetization = 2.0 μB per formula unit

a b c (Å): 8.912 8.912 8.912
angles (deg): 48.06 48.06 48.06
Sites, in units of the cell vectors:
1 U 0.193 0.193 0.193
2 U 0.807 0.807 0.807
3 Br 0.307 0.307 0.307
4 Br 0.693 0.693 0.693
5 Cl 0.129 0.393 0.828
6 Cl 0.172 0.871 0.607
7 Cl 0.393 0.828 0.129
8 Cl 0.607 0.172 0.871
9 Cl 0.828 0.129 0.393
10 Cl 0.871 0.607 0.172


- The highest calculated volume belongs to which entry?
  Sr4Li5Ca


Please write out number 4 again, unchanged.
UBrCl3: relaxed, PBE.

Summary:
crystal system = trigonal
calculated volume = 35.891 Å³/atom
energy above the lowest structure with this stoichiometry = 0.0087 eV per atom
magnetization = 2.0 μB per formula unit

a b c (Å): 8.912 8.912 8.912
angles (deg): 48.06 48.06 48.06
Sites, in units of the cell vectors:
1 U 0.193 0.193 0.193
2 U 0.807 0.807 0.807
3 Br 0.307 0.307 0.307
4 Br 0.693 0.693 0.693
5 Cl 0.129 0.393 0.828
6 Cl 0.172 0.871 0.607
7 Cl 0.393 0.828 0.129
8 Cl 0.607 0.172 0.871
9 Cl 0.828 0.129 0.393
10 Cl 0.871 0.607 0.172